A plane-wave DFT calculation with PBE-GGA was carried out for crystalline TbDyY2As4 at its relaxed geometry.

Properties
formation energy: -1.549 eV/atom

a = 7.146 Å, b = 4.127 Å, c = 7.146 Å
α = 90.00°, β = 109.46°, γ = 90.00°
Sites, in units of the cell vectors:
Tb (0.000, 0.000, 0.000)
Dy (0.500, 0.500, 0.000)
Y (0.000, 0.500, 0.500)
Y (0.500, 0.000, 0.500)
As (0.251, 0.000, 0.750)
As (0.251, 0.500, 0.250)
As (0.749, 0.000, 0.250)
As (0.749, 0.500, 0.750)